First-principles (PBE with a Hubbard U) data for an optimized crystal structure of W2SeF, as listed in Alexandria via LeMat-Bulk.

Values from the calculation:
Raw total energy   -36.6 eV/cell

```
W2SeF
1.0
6.941 0.000 0.000
0.000 6.941 0.000
3.470 3.470 3.143
W Se F
4 2 2
Cartesian
8.676 8.504 2.358 W
5.033 1.735 0.786 W
5.206 5.378 2.358 W
1.908 5.206 0.786 W
0.000 0.000 0.000 Se
6.941 3.470 1.572 Se
3.470 6.941 1.572 F
3.470 3.470 0.000 F
```